(1)
CdHgIrPb2 | PBE | optimized geometry

Unit cell a=5.267 b=5.267 c=5.343 alpha=90.00 beta=90.00 gamma=90.00
Positions (direct):
Cd (0.000, 0.000, 0.000)
Hg (0.500, 0.500, 0.000)
Ir (0.000, 0.000, 0.500)
Pb (0.000, 0.500, 0.500)
Pb (0.500, 0.000, 0.500)

VASP energy in eV/f.u.: -16.80
Formation enthalpy at 0 K in eV per atom: 0.139
Magnetic moment in μB per cell: 0.0
Symmetry: P4/mmm

(2)
RbCdHg2Ir | PBE | optimized geometry

Unit cell a=5.364 b=5.364 c=5.290 alpha=90.00 beta=90.00 gamma=90.00
Positions (direct):
Rb (0.000, 0.000, 0.000)
Cd (0.500, 0.500, 0.000)
Hg (0.000, 0.500, 0.500)
Hg (0.500, 0.000, 0.500)
Ir (0.500, 0.500, 0.500)

VASP energy in eV/f.u.: -11.53
Formation enthalpy at 0 K in eV per atom: -0.037
Magnetic moment in μB per cell: 0.0
Symmetry: P4/mmm

(3)
SmCdHgIr | PBE | optimized geometry

Unit cell a=7.023 b=7.023 c=7.023 alpha=90.00 beta=90.00 gamma=90.00
Positions (direct):
Sm (0.000, 0.000, 0.000)
Sm (0.000, 0.500, 0.500)
Sm (0.500, 0.000, 0.500)
Sm (0.500, 0.500, 0.000)
Cd (0.000, 0.000, 0.500)
Cd (0.000, 0.500, 0.000)
Cd (0.500, 0.000, 0.000)
Cd (0.500, 0.500, 0.500)
Hg (0.250, 0.250, 0.750)
Hg (0.250, 0.750, 0.250)
Hg (0.750, 0.250, 0.250)
Hg (0.750, 0.750, 0.750)
Ir (0.250, 0.250, 0.250)
Ir (0.250, 0.750, 0.750)
Ir (0.750, 0.250, 0.750)
Ir (0.750, 0.750, 0.250)

VASP energy in eV/f.u.: -15.66
Formation enthalpy at 0 K in eV per atom: -0.216
Magnetic moment in μB per cell: 0.0
Symmetry: F-43m

(4)
Cd2SnHgIr | PBE | optimized geometry

Unit cell a=5.322 b=5.322 c=5.027 alpha=90.00 beta=90.00 gamma=90.00
Positions (direct):
Cd (0.000, 0.500, 0.000)
Cd (0.500, 0.000, 0.000)
Sn (0.000, 0.000, 0.500)
Hg (0.500, 0.500, 0.500)
Ir (0.000, 0.000, 0.000)

Distance to the lowest polymorph of the same formula in meV per atom: 0.0
VASP energy in eV/f.u.: -14.77
Formation enthalpy at 0 K in eV per atom: 0.046
Magnetic moment in μB per cell: 0.0
Symmetry: P4/mmm

(5)
Cd2SnHgIr | PBE | optimized geometry

Unit cell a=5.196 b=5.196 c=5.165 alpha=90.00 beta=90.00 gamma=90.00
Positions (direct):
Cd (0.000, 0.500, 0.000)
Cd (0.500, 0.000, 0.000)
Sn (0.000, 0.000, 0.500)
Hg (0.500, 0.500, 0.000)
Ir (0.500, 0.500, 0.500)

Distance to the lowest polymorph of the same formula in meV per atom: 881.5
VASP energy in eV/f.u.: -10.36
Formation enthalpy at 0 K in eV per atom: 0.928
Magnetic moment in μB per cell: 0.0
Symmetry: P4/mmm

(6)
TaCdHg2Ir | PBE | optimized geometry

Unit cell a=4.981 b=4.981 c=4.991 alpha=90.00 beta=90.00 gamma=90.00
Positions (direct):
Ta (0.000, 0.000, 0.000)
Cd (0.500, 0.500, 0.500)
Hg (0.000, 0.500, 0.500)
Hg (0.500, 0.000, 0.500)
Ir (0.500, 0.500, 0.000)

VASP energy in eV/f.u.: -13.31
Formation enthalpy at 0 K in eV per atom: 1.784
Magnetic moment in μB per cell: 0.0
Symmetry: P4/mmm

(7)
Tb4CdHg2Ir | PBE | optimized geometry

Unit cell a=8.943 b=8.943 c=8.943 alpha=33.75 beta=33.75 gamma=33.75
Positions (direct):
Tb (0.113, 0.113, 0.113)
Tb (0.367, 0.367, 0.367)
Tb (0.633, 0.633, 0.633)
Tb (0.887, 0.887, 0.887)
Cd (0.500, 0.500, 0.500)
Hg (0.238, 0.238, 0.238)
Hg (0.762, 0.762, 0.762)
Ir (0.000, 0.000, 0.000)

VASP energy in eV/f.u.: -33.34
Formation enthalpy at 0 K in eV per atom: -0.555
Magnetic moment in μB per cell: 0.0
Symmetry: R-3m

(8)
CdHgTe2Ir | PBE | optimized geometry

Unit cell a=5.522 b=5.522 c=5.118 alpha=90.00 beta=90.00 gamma=90.00
Positions (direct):
Cd (0.000, 0.000, 0.000)
Hg (0.500, 0.500, 0.500)
Te (0.000, 0.500, 0.500)
Te (0.500, 0.000, 0.500)
Ir (0.500, 0.500, 0.000)

VASP energy in eV/f.u.: -10.39
Magnetic moment in μB per cell: 0.0
Symmetry: P4/mmm
E_form (uncorrected) in eV/atom: 1.19

(9)
Th2CdHgIr | PBE | optimized geometry

Unit cell a=8.226 b=4.143 c=8.490 alpha=90.00 beta=99.04 gamma=90.00
Positions (direct):
Th (0.137, 0.250, 0.386)
Th (0.196, 0.250, 0.958)
Th (0.804, 0.750, 0.042)
Th (0.863, 0.750, 0.614)
Cd (0.478, 0.750, 0.346)
Cd (0.522, 0.250, 0.654)
Hg (0.274, 0.750, 0.682)
Hg (0.726, 0.250, 0.318)
Ir (0.160, 0.750, 0.174)
Ir (0.840, 0.250, 0.826)

VASP energy in eV/f.u.: -27.06
Formation enthalpy at 0 K in eV per atom: -0.428
Magnetic moment in μB per cell: 0.0
Symmetry: P2_1/m

(10)
TlCd2HgIr | PBE | optimized geometry

Unit cell a=5.281 b=5.281 c=5.286 alpha=90.00 beta=90.00 gamma=90.00
Positions (direct):
Tl (0.000, 0.000, 0.000)
Cd (0.000, 0.500, 0.500)
Cd (0.500, 0.000, 0.500)
Hg (0.500, 0.500, 0.000)
Ir (0.000, 0.000, 0.500)

VASP energy in eV/f.u.: -12.53
Formation enthalpy at 0 K in eV per atom: 0.165
Magnetic moment in μB per cell: 0.0
Symmetry: P4/mmm

(11)
Tl2CdHgIr | PBE | optimized geometry

Unit cell a=5.303 b=5.303 c=5.342 alpha=90.00 beta=90.00 gamma=90.00
Positions (direct):
Tl (0.000, 0.500, 0.000)
Tl (0.500, 0.000, 0.000)
Cd (0.000, 0.000, 0.500)
Hg (0.500, 0.500, 0.500)
Ir (0.000, 0.000, 0.000)

VASP energy in eV/f.u.: -14.38
Formation enthalpy at 0 K in eV per atom: 0.086
Magnetic moment in μB per cell: 0.0
Symmetry: P4/mmm

(12)
TmCdHgIr | PBE | optimized geometry

Unit cell a=6.878 b=6.878 c=6.878 alpha=90.00 beta=90.00 gamma=90.00
Positions (direct):
Tm (0.000, 0.000, 0.000)
Tm (0.000, 0.500, 0.500)
Tm (0.500, 0.000, 0.500)
Tm (0.500, 0.500, 0.000)
Cd (0.000, 0.000, 0.500)
Cd (0.000, 0.500, 0.000)
Cd (0.500, 0.000, 0.000)
Cd (0.500, 0.500, 0.500)
Hg (0.250, 0.250, 0.250)
Hg (0.250, 0.750, 0.750)
Hg (0.750, 0.250, 0.750)
Hg (0.750, 0.750, 0.250)
Ir (0.250, 0.250, 0.750)
Ir (0.250, 0.750, 0.250)
Ir (0.750, 0.250, 0.250)
Ir (0.750, 0.750, 0.750)

VASP energy in eV/f.u.: -15.62
Formation enthalpy at 0 K in eV per atom: -0.268
Magnetic moment in μB per cell: 0.0
Symmetry: F-43m

(13)
VCdHgIr2 | PBE | optimized geometry

Unit cell a=4.987 b=4.987 c=4.874 alpha=90.00 beta=90.00 gamma=90.00
Positions (direct):
V (0.000, 0.000, 0.000)
Cd (0.500, 0.500, 0.000)
Hg (0.000, 0.000, 0.500)
Ir (0.000, 0.500, 0.500)
Ir (0.500, 0.000, 0.500)

VASP energy in eV/f.u.: -18.93
Formation enthalpy at 0 K in eV per atom: 1.825
Magnetic moment in μB per cell: 3.0
Symmetry: P4/mmm

(14)
YCdHgIr | PBE | optimized geometry

Unit cell a=6.941 b=6.941 c=6.941 alpha=90.00 beta=90.00 gamma=90.00
Positions (direct):
Y (0.000, 0.000, 0.000)
Y (0.000, 0.500, 0.500)
Y (0.500, 0.000, 0.500)
Y (0.500, 0.500, 0.000)
Cd (0.000, 0.000, 0.500)
Cd (0.000, 0.500, 0.000)
Cd (0.500, 0.000, 0.000)
Cd (0.500, 0.500, 0.500)
Hg (0.250, 0.250, 0.750)
Hg (0.250, 0.750, 0.250)
Hg (0.750, 0.250, 0.250)
Hg (0.750, 0.750, 0.750)
Ir (0.250, 0.250, 0.250)
Ir (0.250, 0.750, 0.750)
Ir (0.750, 0.250, 0.750)
Ir (0.750, 0.750, 0.250)

VASP energy in eV/f.u.: -17.54
Formation enthalpy at 0 K in eV per atom: -0.250
Magnetic moment in μB per cell: 0.0
Symmetry: F-43m

(15)
K12CdHg5 | PBE | optimized geometry

Unit cell a=10.380 b=10.380 c=10.380 alpha=112.31 beta=112.23 gamma=104.00
Positions (direct):
K (0.034, 0.828, 0.205)
K (0.241, 0.546, 0.304)
K (0.241, 0.937, 0.696)
K (0.276, 0.316, 0.592)
K (0.276, 0.684, 0.960)
K (0.377, 0.172, 0.205)
K (0.623, 0.828, 0.795)
K (0.724, 0.316, 0.040)
K (0.724, 0.684, 0.408)
K (0.759, 0.063, 0.304)
K (0.759, 0.454, 0.696)
K (0.966, 0.172, 0.795)
Cd (0.500, 0.000, 0.500)
Hg (0.000, 0.138, 0.138)
Hg (0.000, 0.500, 0.500)
Hg (0.000, 0.862, 0.862)
Hg (0.382, 0.382, 0.000)
Hg (0.618, 0.618, 0.000)

VASP energy in eV/f.u.: -18.17
Formation enthalpy at 0 K in eV per atom: -0.143
Magnetic moment in μB per cell: 0.0
Symmetry: Immm

(16)
K5CdHg6 | PBE | optimized geometry

Unit cell a=9.794 b=9.794 c=6.494 alpha=101.52 beta=101.52 gamma=124.23
Positions (direct):
K (0.000, 0.000, 0.000)
K (0.191, 0.809, 0.500)
K (0.381, 0.619, 0.000)
K (0.619, 0.381, 0.000)
K (0.809, 0.191, 0.500)
Cd (0.500, 0.500, 0.500)
Hg (0.001, 0.373, 0.119)
Hg (0.191, 0.191, 0.598)
Hg (0.373, 0.001, 0.119)
Hg (0.627, 0.999, 0.881)
Hg (0.809, 0.809, 0.402)
Hg (0.999, 0.627, 0.881)

VASP energy in eV/f.u.: -10.44
Formation enthalpy at 0 K in eV per atom: -0.185
Magnetic moment in μB per cell: 0.0
Symmetry: C2/m

(17)
K2Cd3Hg9 | PBE | optimized geometry

Unit cell a=9.073 b=9.073 c=12.354 alpha=111.74 beta=111.74 gamma=58.55
Positions (direct):
K (0.084, 0.250, 0.246)
K (0.250, 0.084, 0.746)
K (0.750, 0.916, 0.254)
K (0.916, 0.750, 0.754)
Cd (0.000, 0.500, 0.000)
Cd (0.139, 0.690, 0.505)
Cd (0.310, 0.861, 0.995)
Cd (0.500, 0.000, 0.500)
Cd (0.690, 0.139, 0.005)
Cd (0.861, 0.310, 0.495)
Hg (0.041, 0.849, 0.091)
Hg (0.151, 0.959, 0.409)
Hg (0.196, 0.363, 0.575)
Hg (0.207, 0.570, 0.257)
Hg (0.316, 0.482, 0.941)
Hg (0.363, 0.196, 0.075)
Hg (0.367, 0.633, 0.750)
Hg (0.430, 0.793, 0.243)
Hg (0.482, 0.316, 0.441)
Hg (0.518, 0.684, 0.559)
Hg (0.570, 0.207, 0.757)
Hg (0.633, 0.367, 0.250)
Hg (0.637, 0.804, 0.925)
Hg (0.684, 0.518, 0.059)
Hg (0.793, 0.430, 0.743)
Hg (0.804, 0.637, 0.425)
Hg (0.849, 0.041, 0.591)
Hg (0.959, 0.151, 0.909)

VASP energy in eV/f.u.: -9.47
Formation enthalpy at 0 K in eV per atom: -0.129
Magnetic moment in μB per cell: 0.0
Symmetry: C2/c

(18)
KCd2Hg2 | PBE | optimized geometry

Unit cell a=8.908 b=8.908 c=3.548 alpha=90.00 beta=90.00 gamma=90.00
Positions (direct):
K (0.000, 0.000, 0.000)
K (0.500, 0.500, 0.000)
Cd (0.120, 0.380, 0.000)
Cd (0.380, 0.880, 0.000)
Cd (0.620, 0.120, 0.000)
Cd (0.880, 0.620, 0.000)
Hg (0.177, 0.677, 0.500)
Hg (0.323, 0.177, 0.500)
Hg (0.677, 0.823, 0.500)
Hg (0.823, 0.323, 0.500)

Distance to the lowest polymorph of the same formula in meV per atom: 55.1
VASP energy in eV/f.u.: -4.01
Formation enthalpy at 0 K in eV per atom: -0.095
Magnetic moment in μB per cell: 0.0
Symmetry: P4/mbm

(19)
KCd3Hg9 | PBE | optimized geometry

Unit cell a=8.645 b=8.645 c=7.734 alpha=96.33 beta=96.33 gamma=139.18
Positions (direct):
K (0.000, 0.000, 0.000)
Cd (0.000, 0.500, 0.000)
Cd (0.500, 0.000, 0.000)
Cd (0.500, 0.500, 0.500)
Hg (0.000, 0.000, 0.500)
Hg (0.018, 0.662, 0.645)
Hg (0.300, 0.514, 0.789)
Hg (0.338, 0.982, 0.355)
Hg (0.486, 0.700, 0.211)
Hg (0.514, 0.300, 0.789)
Hg (0.662, 0.018, 0.645)
Hg (0.700, 0.486, 0.211)
Hg (0.982, 0.338, 0.355)

VASP energy in eV/f.u.: -7.39
Formation enthalpy at 0 K in eV per atom: -0.064
Magnetic moment in μB per cell: 0.0
Symmetry: C2/m

(20)
KCd2Hg8 | PBE | optimized geometry

Unit cell a=7.882 b=7.882 c=5.629 alpha=99.28 beta=99.28 gamma=96.08
Positions (direct):
K (0.000, 0.000, 0.000)
Cd (0.276, 0.724, 0.500)
Cd (0.724, 0.276, 0.500)
Hg (0.101, 0.358, 0.650)
Hg (0.323, 0.677, 0.000)
Hg (0.350, 0.350, 0.239)
Hg (0.358, 0.101, 0.650)
Hg (0.642, 0.899, 0.350)
Hg (0.650, 0.650, 0.761)
Hg (0.677, 0.323, 0.000)
Hg (0.899, 0.642, 0.350)

Distance to the lowest polymorph of the same formula in meV per atom: 0.0
VASP energy in eV/f.u.: -6.01
Formation enthalpy at 0 K in eV per atom: -0.061
Magnetic moment in μB per cell: 0.0
Symmetry: C2/m

(21)
KCd4Hg2 | PBE | optimized geometry

Unit cell a=10.376 b=10.376 c=10.376 alpha=26.89 beta=26.89 gamma=26.89
Positions (direct):
K (0.000, 0.000, 0.000)
Cd (0.148, 0.148, 0.148)
Cd (0.443, 0.443, 0.443)
Cd (0.557, 0.557, 0.557)
Cd (0.852, 0.852, 0.852)
Hg (0.263, 0.263, 0.263)
Hg (0.737, 0.737, 0.737)

Distance to the lowest polymorph of the same formula in meV per atom: 29.2
VASP energy in eV/f.u.: -5.91
Formation enthalpy at 0 K in eV per atom: -0.078
Magnetic moment in μB per cell: 0.0
Symmetry: R-3m

(22)
KCd6Hg2 | PBE | optimized geometry

Unit cell a=8.360 b=8.360 c=4.657 alpha=105.79 beta=105.79 gamma=56.86
Positions (direct):
K (0.000, 0.000, 0.000)
Cd (0.000, 0.384, 0.694)
Cd (0.000, 0.616, 0.306)
Cd (0.320, 0.680, 0.500)
Cd (0.384, 0.000, 0.694)
Cd (0.616, 0.000, 0.306)
Cd (0.680, 0.320, 0.500)
Hg (0.380, 0.380, 0.877)
Hg (0.620, 0.620, 0.123)

Distance to the lowest polymorph of the same formula in meV per atom: 93.6
VASP energy in eV/f.u.: -7.08
Formation enthalpy at 0 K in eV per atom: 0.012
Magnetic moment in μB per cell: 0.0
Symmetry: C2/m

(23)
K2Cd3Hg | PBE | optimized geometry

Unit cell a=12.112 b=5.236 c=8.534 alpha=90.00 beta=134.14 gamma=90.00
Positions (direct):
K (0.000, 0.000, 0.000)
K (0.123, 0.000, 0.628)
K (0.500, 0.500, 0.000)
K (0.623, 0.500, 0.628)
Cd (0.221, 0.500, 0.402)
Cd (0.229, 0.500, 0.052)
Cd (0.399, 0.000, 0.222)
Cd (0.721, 0.000, 0.402)
Cd (0.729, 0.000, 0.052)
Cd (0.899, 0.500, 0.222)
Hg (0.402, 0.000, 0.594)
Hg (0.902, 0.500, 0.594)

VASP energy in eV/f.u.: -6.10
Formation enthalpy at 0 K in eV per atom: -0.144
Magnetic moment in μB per cell: 0.0
Symmetry: Cm

(24)
KCd2Hg3 | PBE | optimized geometry

Unit cell a=7.642 b=7.642 c=6.198 alpha=90.00 beta=90.00 gamma=79.77
Positions (direct):
K (0.181, 0.819, 0.750)
K (0.819, 0.181, 0.250)
Cd (0.272, 0.272, 0.000)
Cd (0.272, 0.272, 0.500)
Cd (0.728, 0.728, 0.000)
Cd (0.728, 0.728, 0.500)
Hg (0.049, 0.585, 0.250)
Hg (0.415, 0.951, 0.250)
Hg (0.450, 0.550, 0.250)
Hg (0.550, 0.450, 0.750)
Hg (0.585, 0.049, 0.750)
Hg (0.951, 0.415, 0.750)

VASP energy in eV/f.u.: -4.53
Formation enthalpy at 0 K in eV per atom: -0.117
Magnetic moment in μB per cell: 0.0
Symmetry: Cmcm